No. 1
A plane-wave DFT calculation with PBE-GGA was carried out for a relaxed structure of CaCeTlPb.

Computed properties:
Energy in eV per atom: -3.88
Calculated volume in Å³/cell: 481.5
Calculated formation energy in eV per atom: -0.38
Magnetic moment in Bohr magnetons per cell: 3.90

extended XYZ file:
```
16
Lattice="7.8381 0.0000 0.0000 0.0000 7.8381 0.0000 0.0000 0.0000 7.8381" Properties=species:S:1:pos:R:3 pbc="T T T"
Ca 0.0000 0.0000 0.0000
Ca 0.0000 3.9191 3.9191
Ca 3.9191 0.0000 3.9191
Ca 3.9191 3.9191 0.0000
Ce 0.0000 0.0000 3.9191
Ce 0.0000 3.9191 0.0000
Ce 3.9191 0.0000 0.0000
Ce 3.9191 3.9191 3.9191
Tl 1.9595 1.9595 1.9595
Tl 1.9595 5.8786 5.8786
Tl 5.8786 1.9595 5.8786
Tl 5.8786 5.8786 1.9595
Pb 1.9595 1.9595 5.8786
Pb 1.9595 5.8786 1.9595
Pb 5.8786 1.9595 1.9595
Pb 5.8786 5.8786 5.8786
```



No. 2
A plane-wave DFT calculation with PBE-GGA was carried out for a relaxed structure of InCoW2.

Computed properties:
Energy in eV per atom: -8.46
Calculated volume in Å³/cell: 127.4
Calculated formation energy in eV per atom: 0.47
Magnetic moment in Bohr magnetons per cell: 2.59

extended XYZ file:
```
8
Lattice="3.3460 0.0000 0.0000 0.0000 4.5117 0.0000 0.0000 0.0000 8.4422" Properties=species:S:1:pos:R:3 pbc="T T T"
In 0.0000 0.0000 0.0000
In 1.6730 2.2558 4.2211
Co 0.0000 2.2558 2.1569
Co 1.6730 0.0000 6.3780
W 0.0000 0.0000 4.3848
W 0.0000 2.2558 6.5548
W 1.6730 0.0000 2.3337
W 1.6730 2.2558 0.1637
```



No. 3
A plane-wave DFT calculation with PBE-GGA was carried out for a relaxed structure of TmZrPa.

Computed properties:
Energy in eV per atom: -7.36
Calculated volume in Å³/cell: 77.4
Calculated formation energy in eV per atom: 0.14
Magnetic moment in Bohr magnetons per cell: 0.00

extended XYZ file:
```
3
Lattice="5.2041 0.0000 0.0000 -2.6020 4.5069 0.0000 0.0000 0.0000 3.2995" Properties=species:S:1:pos:R:3 pbc="T T T"
Tm 0.0000 0.0000 0.0000
Zr 0.0000 3.0046 1.6498
Pa 2.6020 1.5023 1.6498
```



No. 4
A plane-wave DFT calculation with PBE-GGA was carried out for a relaxed structure of La2CeTh5.

Computed properties:
Energy in eV per atom: -6.00
Calculated volume in Å³/cell: 296.5
Calculated formation energy in eV per atom: 0.61
Magnetic moment in Bohr magnetons per cell: 0.00

extended XYZ file:
```
8
Lattice="7.2805 0.0000 0.0000 0.0000 7.2805 0.0000 0.0000 0.0000 5.5928" Properties=species:S:1:pos:R:3 pbc="T T T"
La 0.0000 3.6403 0.0000
La 3.6403 0.0000 0.0000
Ce 0.0000 0.0000 2.7964
Th 0.0000 0.0000 0.0000
Th 2.0138 2.0138 2.7964
Th 2.0138 5.2667 2.7964
Th 5.2667 2.0138 2.7964
Th 5.2667 5.2667 2.7964
```